First-principles (PBE-GGA) data for a geometry-optimized ReB2CN structure, as listed in Alexandria.

ρ in g cm⁻³: 5.522
Symmetry: P4/mmm
Raw formation energy in kJ/mol of formula units: 1104
Spin magnetization in μB/f.u.: 3.1

```
5
Lattice="4.204 0.000 0.000 0.000 4.204 0.000 0.000 0.000 3.979" Properties=species:S:1:pos:R:3 pbc="T T T"
Re 0.000 0.000 0.000
B 0.000 2.102 0.000
B 2.102 0.000 0.000
C 0.000 0.000 1.990
N 2.102 2.102 1.990
```